Computed, not measured: a relaxed BaCaW4O8 crystal at the PBE+U level of DFT.

The calculation puts the total energy at -94.5 eV per cell.

The space group is P-31m (No. 162) and the conventional cell measures 5.8771, 5.8771 and 7.5088 Å, with angles of 90.00, 90.00 and 120.00 degrees. The asymmetric unit holds Ba at (0.0000, 0.0000, 0.0000), Ca at (0.0000, 0.0000, 0.5000), W at (0.3333, 0.6667, 0.2744), O at (0.0000, 0.3043, 0.2959) and O at (0.3333, 0.6667, 0.0000).